1.
NdSm6Er8: relaxed, PBE-GGA.

Unit cell a=9.0526 b=9.0526 c=8.6565 alpha=58.47 beta=58.47 gamma=60.00
Atoms (fractional coordinates):
1 Er 0.5763 0.5763 0.2710
2 Er 0.2551 0.2816 0.5747
3 Er 0.7449 0.7184 0.4253
4 Er 0.7184 0.1113 0.4253
5 Er 0.4237 0.4237 0.7290
6 Er 0.8887 0.2551 0.5747
7 Er 0.2816 0.8887 0.5747
8 Er 0.1113 0.7449 0.4253
9 Sm 0.8931 0.7732 0.8715
10 Sm 0.1069 0.2268 0.1285
11 Sm 0.2268 0.5378 0.1285
12 Sm 0.5378 0.1069 0.1285
13 Sm 0.4622 0.8931 0.8715
14 Sm 0.7732 0.4622 0.8715
15 Nd 0.0000 0.0000 0.0000

Properties
Its formation energy is 0.129 eV per atom. The space group is R-3, No. 148. The value obtained for the total energy is -67.649 eV per formula unit.

2.
Nd2Sm6Er: relaxed, PBE-GGA.

Unit cell a=3.5424 b=9.8911 c=10.5311 alpha=118.01 beta=70.40 gamma=90.00
Atoms (fractional coordinates):
1 Sm 0.5000 0.3308 0.0000
2 Sm 0.1698 0.3311 0.3305
3 Sm 0.8302 0.6689 0.6695
4 Sm 0.5000 0.6692 0.0000
5 Sm 0.1698 0.9994 0.3305
6 Sm 0.8302 0.0006 0.6695
7 Er 0.0000 0.0000 0.0000
8 Nd 0.6663 0.6669 0.3337
9 Nd 0.3337 0.3331 0.6663

Properties
Its formation energy is 0.057 eV per atom. The polymorph energy (0 for the lowest one) comes out at 0.000 eV/atom. The space group is C2/m, No. 12. The value obtained for the total energy is -41.899 eV per formula unit.

3.
NdSm5Er5: relaxed, PBE-GGA.

Unit cell a=6.0806 b=6.0806 c=11.7688 alpha=90.01 beta=90.00 gamma=120.00
Atoms (fractional coordinates):
1 Sm 0.0000 0.0000 0.0000
2 Sm 0.6667 0.3333 0.8449
3 Sm 0.6667 0.3333 0.1551
4 Sm 0.3333 0.6667 0.3204
5 Sm 0.3333 0.6667 0.6796
6 Er 0.8335 0.1665 0.5000
7 Er 0.0000 0.0000 0.7339
8 Er 0.3331 0.1665 0.5000
9 Er 0.0000 0.0000 0.2661
10 Er 0.8335 0.6669 0.5000
11 Nd 0.3333 0.6667 0.0000

Properties
Its formation energy is 0.298 eV per atom. The polymorph energy (0 for the lowest one) comes out at 0.000 eV/atom. The space group is P-6m2, No. 187. The value obtained for the total energy is -47.900 eV per formula unit.

4.
Nd5SmEr5: relaxed, PBE-GGA.

Unit cell a=6.1072 b=6.1072 c=11.8360 alpha=90.00 beta=90.00 gamma=120.00
Atoms (fractional coordinates):
1 Er 0.3328 0.1664 0.5000
2 Er 0.0000 0.0000 0.7338
3 Er 0.8336 0.6672 0.5000
4 Er 0.8336 0.1664 0.5000
5 Er 0.0000 0.0000 0.2662
6 Sm 0.3333 0.6667 0.0000
7 Nd 0.6667 0.3333 0.8460
8 Nd 0.3333 0.6667 0.3173
9 Nd 0.6667 0.3333 0.1540
10 Nd 0.0000 0.0000 0.0000
11 Nd 0.3333 0.6667 0.6827

Properties
Its formation energy is 0.285 eV per atom. The space group is P-6m2, No. 187. The value obtained for the total energy is -48.236 eV per formula unit.